No. 1
Compound: B11C
Source: Alexandria via LeMat-Bulk
Functional: PBE
Structure: relaxed

Cell: 4.5286 4.5286 9.0209 Å, 64.73 64.73 29.45°
Last column: nearest neighbours and their distance in Å.
Fractional coordinates of all 12 atoms:
1 B 0.9243 0.9243 0.2133  5 B 1.73-1.84
2 B 0.0530 0.0530 0.0025  4 B 1.73-1.78
3 B 0.7029 0.7029 0.2091  6 B 1.81-1.96
4 B 0.9426 0.9426 0.5130  1 C 1.61, 1 B 1.74
5 B 0.7861 0.7861 0.7170  4 B 1.74-1.76
6 B 0.3435 0.3435 0.8320  4 B 1.72-1.78
7 B 0.2547 0.2547 0.3434  1 C 1.55
8 B 0.5303 0.5303 0.8634  4 B 1.78-1.79
9 B 0.4763 0.4763 0.3431  6 B 1.81-1.94
10 B 0.2331 0.2331 0.0434  4 B 1.72-1.81
11 B 0.6338 0.6338 0.6427  2 C 1.60, 2 B 1.74-1.79
12 C 0.1193 0.1193 0.5271  4 B 1.55-1.61

## Properties
ΔE to the lowest computed polymorph: 0.233 eV per atom
Magnetic moment: 0.0 μB/f.u.
Space-group type: Cm, No. 8
Energy relative to the elements: 6.077 eV per formula unit
Crystal system: monoclinic
V: 81.62 Å³ per cell

No. 2
Compound: B7C5
Source: Alexandria via LeMat-Bulk
Functional: PBE
Structure: relaxed

Cell: 4.6128 4.6128 7.6459 Å, 114.61 114.61 34.12°
Last column: nearest neighbours and their distance in Å.
Fractional coordinates of all 12 atoms:
1 B 0.1553 0.1553 0.1632  1 C 1.60, 1 B 1.76
2 B 0.6974 0.6974 0.8125  2 C 1.58, 1 B 1.75
3 B 0.6650 0.6650 0.3490  2 C 1.60
4 B 0.3069 0.3069 0.6169  3 C 1.58-1.61
5 B 0.5713 0.5713 0.9759  5 B 1.70-1.87
6 B 0.8013 0.8013 0.0665  2 C 1.60, 1 B 1.75
7 B 0.9524 0.9524 0.9679  4 B 1.70-1.79
8 C 0.4966 0.4966 0.3786  3 C 1.47-1.63, 1 B 1.60
9 C 0.8430 0.8430 0.5355  1 C 1.53, 3 B 1.58-1.60
10 C 0.3461 0.3461 0.1903  1 C 1.47, 3 B 1.60
11 C 0.1636 0.1636 0.6936  1 C 1.55, 3 B 1.58-1.61
12 C 0.0012 0.0012 0.5000  4 C 1.53-1.63

## Properties
ΔE to the lowest computed polymorph: 0.182 eV per atom
Magnetic moment: 0.0 μB/f.u.
Space-group type: Cm, No. 8
Energy relative to the elements: 4.152 eV per formula unit
Crystal system: monoclinic
V: 82.15 Å³ per cell

No. 3
Compound: BC
Source: Alexandria via LeMat-Bulk
Functional: PBE
Structure: relaxed

Cell: 2.5943 4.7859 6.6150 Å, 93.64 90.00 90.00°
Last column: nearest neighbours and their distance in Å.
Fractional coordinates of all 12 atoms:
1 C 0.0000 0.3438 0.5934  2 C 1.58, 2 B 1.60-1.64
2 C 0.5000 0.1997 0.6767  3 C 1.58-1.60, 1 B 1.76
3 C 0.0000 0.6858 0.9167  1 C 1.48, 3 B 1.55-1.65
4 C 0.0000 0.9725 0.0150  2 C 1.48-1.50
5 C 0.0000 0.9668 0.2419  1 C 1.50, 2 B 1.55
6 C 0.5000 0.8782 0.5928  3 B 1.57-1.71, 1 C 1.60
7 B 0.5000 0.5207 0.9535  2 C 1.55, 2 B 1.73
8 B 0.5000 0.8931 0.3560  3 C 1.55-1.57
9 B 0.0000 0.2969 0.3523  2 C 1.60-1.70, 2 B 1.76
10 B 0.5000 0.1583 0.9390  3 C 1.67-1.76, 1 B 1.73
11 B 0.0000 0.6774 0.6669  4 C 1.64-1.71
12 B 0.5000 0.4068 0.1958  3 B 1.73-1.76

## Properties
ΔE to the lowest computed polymorph: 0.273 eV per atom
Magnetic moment: 0.0 μB/f.u.
Space-group type: Pm, No. 6
Energy relative to the elements: 0.847 eV per formula unit
Crystal system: monoclinic
V: 81.97 Å³ per cell

No. 4
Compound: BC
Source: Alexandria via LeMat-Bulk
Functional: PBE
Structure: relaxed

Cell: 5.9708 5.9708 5.3180 Å, 99.93 99.93 25.93°
Last column: nearest neighbours and their distance in Å.
Fractional coordinates of all 12 atoms:
1 B 0.6498 0.6498 0.3304  2 C 1.58-1.60
2 B 0.8834 0.8834 0.6034  2 C 1.55
3 B 0.8966 0.8966 0.2278  2 C 1.59
4 B 0.2669 0.2669 0.3779  2 C 1.58-1.60
5 B 0.0201 0.0201 0.4806  2 C 1.59
6 B 0.0333 0.0333 0.1050  2 C 1.55
7 C 0.6681 0.6681 0.8376  4 C 1.54-1.63
8 C 0.3292 0.3292 0.6706  1 C 1.54, 3 B 1.55-1.60
9 C 0.2485 0.2485 0.8707  4 C 1.54-1.63
10 C 0.5888 0.5888 0.5742  1 C 1.54, 3 B 1.58-1.59
11 C 0.3278 0.3278 0.1342  1 C 1.54, 3 B 1.58-1.59
12 C 0.5874 0.5874 0.0378  1 C 1.54, 3 B 1.55-1.60

## Properties
ΔE to the lowest computed polymorph: 0.126 eV per atom
Magnetic moment: 0.0 μB/f.u.
Space-group type: C2/m, No. 12
Energy relative to the elements: 0.553 eV per formula unit
Crystal system: monoclinic
V: 81.58 Å³ per cell